La6CoHg2Os | Alexandria | GGA-PBE | optimized geometry; space-group type = P-1, No. 2; ΔH_f (0 K) = -255 meV/atom
1.0
7.6763 -0.0648 0.0443
-0.0684 7.6163 -0.0181
-3.7719 -3.7841 5.4324
La Hg Co Os
6 2 1 1
direct
0.1929 0.1928 0.4951
0.1938 0.6985 0.0026
0.6537 0.7544 0.9014
0.3460 0.2464 0.0982
0.8067 0.8079 0.5045
0.8060 0.3023 0.9969
0.2299 0.7461 0.4853
0.7698 0.2547 0.5143
0.0000 0.0004 0.9998
0.4999 0.5004 0.9999

***

Tb8Pd2Pt | Alexandria | GGA-PBE | optimized geometry; space-group type = Cm, No. 8; ΔH_f (0 K) = -443 meV/atom; polymorph energy (0 for the lowest one) = 0.100 eV/atom
1.0
-2.9240 4.7655 -2.1631
-0.0931 -4.7126 -6.1958
-4.7199 -2.0948 5.8258
Tb Pd Pt
8 2 1
direct
0.9869 0.7940 0.2094
0.9869 0.2094 0.7940
0.5828 0.0911 0.3444
0.3715 0.6598 0.9127
0.5828 0.3444 0.0911
0.1684 0.3661 0.3661
0.3715 0.9127 0.6598
0.8082 0.6402 0.6402
0.4909 0.3097 0.7014
0.4909 0.7014 0.3097
0.1590 0.0053 0.0053

***

La2PmDy3Te6 | Alexandria | GGA-PBE | optimized geometry; ΔE_f (raw) = -136.10 kJ per mole of atoms; space-group type = C2/m, No. 12
1.0
-1.9216 -3.9677 -0.2563
6.0464 -2.5327 -6.1242
4.9523 -0.4999 8.6511
Te La Dy Pm
6 2 3 1
direct
0.3319 0.9285 0.6639
0.9951 0.2543 0.9903
0.3368 0.4082 0.6736
0.6681 0.0715 0.3361
0.6632 0.5918 0.3264
0.0049 0.7457 0.0097
0.8345 0.6691 0.6689
0.1655 0.3309 0.3311
0.1680 0.8334 0.3360
0.5000 0.5000 0.0000
0.8320 0.1666 0.6640
0.5000 0.0000 0.0000

***

NbTlV2Au | Alexandria | GGA-PBE | optimized geometry; space-group type = P4/mmm, No. 123; ΔH_f (0 K) = 1289 meV/atom
1.0
4.6370 0.0000 0.0000
0.0000 5.4267 0.0000
0.0000 0.0000 4.6370
V Nb Tl Au
2 1 1 1
direct
0.0000 0.0000 0.5000
0.5000 0.0000 0.0000
0.0000 0.0000 0.0000
0.0000 0.5000 0.0000
0.5000 0.5000 0.5000

***

PrNdTm3Sc | Alexandria | GGA-PBE | optimized geometry; space-group type = Cmcm, No. 63; ΔH_f (0 K) = 45 meV/atom
1.0
-4.2194 1.0881 2.4393
-1.5507 -0.1765 -7.7151
-2.1291 -9.7135 0.6502
Tm Sc Pr Nd
6 2 2 2
direct
0.6699 0.3398 0.9999
0.1712 0.3424 0.7500
0.6699 0.3398 0.5001
0.3301 0.6602 0.0001
0.8288 0.6576 0.2500
0.3301 0.6602 0.4999
0.1695 0.3389 0.2500
0.8305 0.6611 0.7500
0.0000 0.0000 0.0000
0.0000 0.0000 0.5000
0.5018 0.0036 0.2500
0.4982 0.9964 0.7500

***

Pt2SeCl | Alexandria | GGA-PBE | optimized geometry; ΔE_f (raw) = 19.75 kJ per mole of atoms; space-group type = I-42d, No. 122; polymorph energy (0 for the lowest one) = 0.453 eV/atom
1.0
-6.0530 -0.6556 -2.1230
2.1925 -2.7610 -5.3987
-2.1617 -5.4302 -1.9514
Pt Cl Se
4 2 2
direct
0.0976 0.6250 0.2500
0.3750 0.3476 0.7500
0.6524 0.1250 0.2500
0.8750 0.9024 0.7500
0.5000 0.5000 0.0000
0.2500 0.7500 0.5000
0.0000 0.0000 0.0000
0.7500 0.2500 0.5000

***

Number 1: VASP energy -5.105 eV per atom. Number 2: VASP energy -5.303 eV per atom. Number 3: VASP energy -5.349 eV per atom. Number 4: VASP energy -5.501 eV per atom. Number 5: VASP energy -4.837 eV per atom. Number 6: VASP energy -4.149 eV per atom.